A geometry-optimized TiAlSb2I structure, computed with PBE.

Symmetry = P4/mmm (123)
Energy above the lowest structure with this stoichiometry = 2.17 eV per formula unit

Cell: 5.237 5.237 5.563 Å, 90.00 90.00 90.00°
Element x y z (fractional)
Ti1 0.000 0.000 0.000
Al1 0.500 0.500 0.500
Sb1 0.000 0.500 0.500
Sb2 0.500 0.000 0.500
I1 0.500 0.500 0.000

---

A geometry-optimized TiAlSb2I structure, computed with PBE.

Symmetry = P4/mmm (123)
Energy above the lowest structure with this stoichiometry = 0.00 eV per formula unit

Cell: 5.207 5.207 6.013 Å, 90.00 90.00 90.00°
Element x y z (fractional)
Ti1 0.000 0.000 0.000
Al1 0.500 0.500 0.500
Sb1 0.000 0.500 0.000
Sb2 0.500 0.000 0.000
I1 0.000 0.000 0.500

---

A geometry-optimized AlTlSb2I structure, computed with PBE.

Symmetry = P4/mmm (123)
Energy above the lowest structure with this stoichiometry = 2.92 eV per formula unit

Cell: 5.697 5.697 6.460 Å, 90.00 90.00 90.00°
Element x y z (fractional)
Al1 0.000 0.000 0.000
Tl1 0.500 0.500 0.500
Sb1 0.000 0.500 0.500
Sb2 0.500 0.000 0.500
I1 0.500 0.500 0.000

---

A geometry-optimized AlTlSb2I structure, computed with PBE.

Symmetry = P4/mmm (123)
Energy above the lowest structure with this stoichiometry = 0.00 eV per formula unit

Cell: 5.339 5.339 5.904 Å, 90.00 90.00 90.00°
Element x y z (fractional)
Al1 0.000 0.000 0.000
Tl1 0.500 0.500 0.500
Sb1 0.000 0.500 0.000
Sb2 0.500 0.000 0.000
I1 0.000 0.000 0.500

---

A geometry-optimized AlVSbI2 structure, computed with PBE.

Symmetry = P4/mmm (123)
Energy above the lowest structure with this stoichiometry = 0.00 eV per formula unit

Cell: 5.610 5.610 5.250 Å, 90.00 90.00 90.00°
Element x y z (fractional)
Al1 0.000 0.000 0.000
V1 0.500 0.500 0.500
Sb1 0.500 0.500 0.000
I1 0.000 0.500 0.500
I2 0.500 0.000 0.500

---

A geometry-optimized AlVSb2I structure, computed with PBE.

Symmetry = P4/mmm (123)
Energy above the lowest structure with this stoichiometry = 0.00 eV per formula unit

Cell: 5.073 5.073 6.019 Å, 90.00 90.00 90.00°
Element x y z (fractional)
Al1 0.000 0.000 0.000
V1 0.500 0.500 0.500
Sb1 0.000 0.500 0.500
Sb2 0.500 0.000 0.500
I1 0.500 0.500 0.000

---

A geometry-optimized AlVSbI2 structure, computed with PBE.

Symmetry = P4/mmm (123)
Energy above the lowest structure with this stoichiometry = 3.18 eV per formula unit

Cell: 5.422 5.422 5.435 Å, 90.00 90.00 90.00°
Element x y z (fractional)
Al1 0.000 0.000 0.000
V1 0.500 0.500 0.500
Sb1 0.000 0.000 0.500
I1 0.000 0.500 0.000
I2 0.500 0.000 0.000

---

A geometry-optimized AlVSb2I structure, computed with PBE.

Symmetry = P4/mmm (123)
Energy above the lowest structure with this stoichiometry = 2.12 eV per formula unit

Cell: 5.230 5.230 5.559 Å, 90.00 90.00 90.00°
Element x y z (fractional)
Al1 0.000 0.000 0.000
V1 0.500 0.500 0.500
Sb1 0.000 0.500 0.000
Sb2 0.500 0.000 0.000
I1 0.000 0.000 0.500

---

A geometry-optimized AlSbWI2 structure, computed with PBE.

Symmetry = P4/mmm (123)
Energy above the lowest structure with this stoichiometry = 0.00 eV per formula unit

Cell: 5.730 5.730 5.237 Å, 90.00 90.00 90.00°
Element x y z (fractional)
Al1 0.000 0.000 0.000
Sb1 0.500 0.500 0.000
W1 0.500 0.500 0.500
I1 0.000 0.500 0.500
I2 0.500 0.000 0.500

---

A geometry-optimized AlSbWI2 structure, computed with PBE.

Symmetry = P4/mmm (123)
Energy above the lowest structure with this stoichiometry = 2.71 eV per formula unit

Cell: 5.346 5.346 5.560 Å, 90.00 90.00 90.00°
Element x y z (fractional)
Al1 0.000 0.000 0.000
Sb1 0.000 0.000 0.500
W1 0.500 0.500 0.500
I1 0.000 0.500 0.000
I2 0.500 0.000 0.000

---

A geometry-optimized YAlSb2I structure, computed with PBE.

Symmetry = P4/mmm (123)
Energy above the lowest structure with this stoichiometry = 0.76 eV per formula unit

Cell: 5.853 5.853 5.995 Å, 90.00 90.00 90.00°
Element x y z (fractional)
Y1 0.000 0.000 0.000
Al1 0.500 0.500 0.500
Sb1 0.000 0.500 0.000
Sb2 0.500 0.000 0.000
I1 0.000 0.000 0.500

---

A geometry-optimized YAlSb2I structure, computed with PBE.

Symmetry = P4/mmm (123)
Energy above the lowest structure with this stoichiometry = 0.00 eV per formula unit

Cell: 5.269 5.269 5.566 Å, 90.00 90.00 90.00°
Element x y z (fractional)
Y1 0.000 0.000 0.000
Al1 0.500 0.500 0.500
Sb1 0.000 0.500 0.500
Sb2 0.500 0.000 0.500
I1 0.500 0.500 0.000

---

A geometry-optimized AlZnSbI2 structure, computed with PBE.

Symmetry = P4/mmm (123)
Energy above the lowest structure with this stoichiometry = 0.00 eV per formula unit

Cell: 5.590 5.590 5.483 Å, 90.00 90.00 90.00°
Element x y z (fractional)
Al1 0.000 0.000 0.000
Zn1 0.500 0.500 0.500
Sb1 0.000 0.000 0.500
I1 0.000 0.500 0.000
I2 0.500 0.000 0.000

---

A geometry-optimized AlZnSbI2 structure, computed with PBE.

Symmetry = P4/mmm (123)
Energy above the lowest structure with this stoichiometry = 0.42 eV per formula unit

Cell: 5.716 5.716 5.227 Å, 90.00 90.00 90.00°
Element x y z (fractional)
Al1 0.000 0.000 0.000
Zn1 0.500 0.500 0.500
Sb1 0.500 0.500 0.000
I1 0.000 0.500 0.500
I2 0.500 0.000 0.500

---

A geometry-optimized ZrAlSb2I structure, computed with PBE.

Symmetry = P4/mmm (123)
Energy above the lowest structure with this stoichiometry = 1.68 eV per formula unit

Cell: 5.225 5.225 5.406 Å, 90.00 90.00 90.00°
Element x y z (fractional)
Zr1 0.000 0.000 0.000
Al1 0.500 0.500 0.500
Sb1 0.000 0.500 0.500
Sb2 0.500 0.000 0.500
I1 0.500 0.500 0.000

---

A geometry-optimized ZrAlSb2I structure, computed with PBE.

Symmetry = P4/mmm (123)
Energy above the lowest structure with this stoichiometry = 0.00 eV per formula unit

Cell: 5.553 5.553 5.920 Å, 90.00 90.00 90.00°
Element x y z (fractional)
Zr1 0.000 0.000 0.000
Al1 0.500 0.500 0.500
Sb1 0.000 0.500 0.000
Sb2 0.500 0.000 0.000
I1 0.000 0.000 0.500

---

A geometry-optimized ZrAlSbI2 structure, computed with PBE.

Symmetry = P4/mmm (123)
Energy above the lowest structure with this stoichiometry = 2.15 eV per formula unit

Cell: 5.348 5.348 5.451 Å, 90.00 90.00 90.00°
Element x y z (fractional)
Zr1 0.000 0.000 0.000
Al1 0.500 0.500 0.500
Sb1 0.500 0.500 0.000
I1 0.000 0.500 0.500
I2 0.500 0.000 0.500

---

A geometry-optimized ZrAlSbI2 structure, computed with PBE.

Symmetry = P4/mmm (123)
Energy above the lowest structure with this stoichiometry = 0.00 eV per formula unit

Cell: 5.745 5.745 5.686 Å, 90.00 90.00 90.00°
Element x y z (fractional)
Zr1 0.000 0.000 0.000
Al1 0.500 0.500 0.500
Sb1 0.000 0.000 0.500
I1 0.000 0.500 0.000
I2 0.500 0.000 0.000

---

A geometry-optimized ScAl2I structure, computed with PBE.

Symmetry = I-42d (122)
Energy above the lowest structure with this stoichiometry = 0.00 eV per formula unit

Cell: 6.521 6.521 6.521 Å, 101.25 101.25 127.58°
Element x y z (fractional)
Sc1 0.000 0.000 0.000
Sc2 0.750 0.250 0.500
Al1 0.112 0.125 0.487
Al2 0.375 0.888 0.013
Al3 0.638 0.625 0.513
Al4 0.875 0.362 0.987
I1 0.250 0.750 0.500
I2 0.500 0.500 0.000

---

A geometry-optimized ScAl2I2 structure, computed with PBE.

Symmetry = I4/mmm (139)
Energy above the lowest structure with this stoichiometry = 0.00 eV per formula unit

Cell: 10.065 10.065 10.065 Å, 158.44 158.44 30.67°
Element x y z (fractional)
Sc1 0.000 0.000 0.000
Al1 0.250 0.750 0.500
Al2 0.750 0.250 0.500
I1 0.409 0.409 0.000
I2 0.591 0.591 0.000

---

A geometry-optimized Sc3AlI structure, computed with PBE.

Symmetry = Pm-3m (221)
Energy above the lowest structure with this stoichiometry = 0.00 eV per formula unit

Cell: 5.223 5.223 5.223 Å, 90.00 90.00 90.00°
Element x y z (fractional)
Sc1 0.000 0.000 0.500
Sc2 0.000 0.500 0.000
Sc3 0.500 0.000 0.000
Al1 0.000 0.000 0.000
I1 0.500 0.500 0.500

---

A geometry-optimized ScAl2I structure, computed with PBE.

Symmetry = Fm-3m (225)
Energy above the lowest structure with this stoichiometry = 0.79 eV per formula unit

Cell: 5.154 5.154 5.154 Å, 60.00 60.00 60.00°
Element x y z (fractional)
Sc1 0.000 0.000 0.000
Al1 0.250 0.250 0.250
Al2 0.750 0.750 0.750
I1 0.500 0.500 0.500

---

A geometry-optimized ScAlI structure, computed with PBE.

Uncorrected energy = -4.490 eV per atom
Symmetry = C2/m (12)

Cell: 3.879 3.879 13.218 Å, 98.50 98.50 59.98°
Element x y z (fractional)
Sc1 0.100 0.100 0.303
Sc2 0.900 0.900 0.697
Al1 0.185 0.185 0.554
Al2 0.815 0.815 0.446
I1 0.384 0.384 0.156
I2 0.616 0.616 0.844

---

A geometry-optimized Sc2Al4I structure, computed with PBE.

Uncorrected energy = -3.409 eV per atom
Symmetry = I4/mmm (139)

Cell: 8.105 8.105 8.105 Å, 141.12 141.12 56.15°
Element x y z (fractional)
Sc1 0.103 0.103 0.000
Sc2 0.897 0.897 0.000
Al1 0.000 0.500 0.500
Al2 0.305 0.305 0.000
Al3 0.500 0.000 0.500
Al4 0.695 0.695 0.000
I1 0.500 0.500 0.000

---

A geometry-optimized ScAl2I2 structure, computed with PBE.

Symmetry = P4/mbm (127)
Energy above the lowest structure with this stoichiometry = 1.65 eV per formula unit

Cell: 7.873 7.873 4.728 Å, 90.00 90.00 90.00°
Element x y z (fractional)
Sc1 0.000 0.000 0.000
Sc2 0.500 0.500 0.000
Al1 0.134 0.366 0.500
Al2 0.366 0.866 0.500
Al3 0.634 0.134 0.500
Al4 0.866 0.634 0.500
I1 0.173 0.673 0.000
I2 0.327 0.173 0.000
I3 0.673 0.827 0.000
I4 0.827 0.327 0.000

---

A geometry-optimized ScAlTe2I structure, computed with PBE.

Symmetry = P4/mmm (123)
Energy above the lowest structure with this stoichiometry = 0.00 eV per formula unit

Cell: 5.555 5.555 5.862 Å, 90.00 90.00 90.00°
Element x y z (fractional)
Sc1 0.000 0.000 0.000
Al1 0.500 0.500 0.500
Te1 0.000 0.500 0.000
Te2 0.500 0.000 0.000
I1 0.000 0.000 0.500

---

A geometry-optimized Sc2AlTeI structure, computed with PBE.

Uncorrected energy = -4.074 eV per atom
Symmetry = P4/mmm (123)

Cell: 5.433 5.433 5.159 Å, 90.00 90.00 90.00°
Element x y z (fractional)
Sc1 0.000 0.500 0.000
Sc2 0.500 0.000 0.000
Al1 0.000 0.000 0.000
Te1 0.500 0.500 0.500
I1 0.000 0.000 0.500

---

A geometry-optimized ScAlTe2I structure, computed with PBE.

Symmetry = P4/mmm (123)
Energy above the lowest structure with this stoichiometry = 1.33 eV per formula unit

Cell: 5.394 5.394 5.327 Å, 90.00 90.00 90.00°
Element x y z (fractional)
Sc1 0.000 0.000 0.000
Al1 0.500 0.500 0.500
Te1 0.000 0.500 0.500
Te2 0.500 0.000 0.500
I1 0.500 0.500 0.000